The following is a PBE-GGA calculation of crystalline MgZr2Si at its relaxed geometry, from Alexandria.

```
4
Lattice="-2.140 2.140 4.239 2.140 -2.140 4.239 2.140 2.140 -4.239" Properties=species:S:1:pos:R:3 pbc="T T T"
Mg 0.000 0.000 0.000
Zr 2.140 0.000 2.120
Zr 0.000 2.140 2.120
Si 0.000 0.000 4.239
```

Results
Total magnetization: 0.0 μB/cell
Raw total energy: -6.303 eV per atom
ΔE_f (raw): -275 meV/atom
Space-group type: I4/mmm (139)

---

The following is a PBE-GGA calculation of crystalline LiPaCoS4 at its relaxed geometry, from Alexandria.

```
14
Lattice="6.558 0.000 0.000 0.000 5.636 0.000 -1.803 0.000 8.134" Properties=species:S:1:pos:R:3 pbc="T T T"
Li 0.798 1.409 1.086
Li 3.958 4.227 7.048
Pa 0.818 4.227 3.619
Pa 3.937 1.409 4.515
Co 0.402 1.409 5.554
Co 4.353 4.227 2.580
S -1.416 1.409 6.832
S -0.166 1.409 3.405
S 1.967 2.889 5.806
S 1.967 5.565 5.806
S 2.789 0.071 2.328
S 2.789 2.747 2.328
S 4.922 4.227 4.729
S 6.172 4.227 1.302
```

Results
Total magnetization: 3.6 μB/cell
Raw total energy: -6.080 eV per atom
ΔE_f (raw): -1077 meV/atom
Space-group type: P2_1/m (11)

---

The following is a PBE-GGA calculation of crystalline Y2MgPtCl at its relaxed geometry, from Alexandria.

```
5
Lattice="5.451 0.000 0.000 0.000 5.451 0.000 0.000 0.000 5.082" Properties=species:S:1:pos:R:3 pbc="T T T"
Y 0.000 2.725 0.000
Y 2.725 0.000 0.000
Mg 0.000 0.000 2.541
Pt 0.000 0.000 0.000
Cl 2.725 2.725 2.541
```

Results
Total magnetization: 0.0 μB/cell
Raw total energy: -5.133 eV per atom
ΔE_f (raw): -651 meV/atom
Space-group type: P4/mmm (123)

---

The following is a PBE-GGA calculation of crystalline LiRe2Ir at its relaxed geometry, from Alexandria.

```
8
Lattice="-3.666 3.666 2.462 3.666 -3.666 2.462 3.666 3.666 -2.462" Properties=species:S:1:pos:R:3 pbc="T T T"
Li 0.000 0.000 0.000
Li 0.000 3.666 1.231
Re 1.833 -1.551 1.846
Re 2.115 1.833 0.615
Re 1.833 5.218 -0.615
Re 1.551 1.833 3.077
Ir 3.666 0.000 1.231
Ir 0.000 0.000 2.462
```

Results
Calculated formation energy: 776 meV per atom
Total magnetization: 0.0 μB/cell
Raw total energy: -8.142 eV per atom
Space-group type: I-42d (122)

---

The following is a PBE-GGA calculation of crystalline BiRuO5 at its relaxed geometry, from Alexandria.

```
14
Lattice="5.852 0.000 0.000 -2.830 5.363 0.000 -0.115 -3.193 8.177" Properties=species:S:1:pos:R:3 pbc="T T T"
Bi 0.000 0.000 0.000
Bi -0.010 2.171 5.517
Ru 0.433 3.219 0.625
Ru 3.250 0.034 4.931
O -0.973 0.411 4.291
O -2.027 1.649 6.273
O 0.233 -1.010 7.335
O 0.085 1.791 1.672
O -0.962 4.231 1.023
O 2.920 -1.397 3.874
O 1.861 1.037 4.487
O 0.901 1.643 7.427
O 3.151 -1.010 6.391
O 2.062 3.605 1.250
```

Results
Total magnetization: 1.5 μB/cell
Raw total energy: -6.267 eV per atom
ΔE_f (raw): -846 meV/atom
Space-group type: P1 (1)

---

The following is a PBE-GGA calculation of crystalline Li3Mo at its relaxed geometry, from Alexandria.

```
4
Lattice="2.457 0.000 0.000 0.000 4.654 0.000 0.000 0.000 5.611" Properties=species:S:1:pos:R:3 pbc="T T T"
Li 0.000 0.000 0.000
Li 1.228 2.327 1.517
Li 1.228 2.327 4.094
Mo 0.000 0.000 2.806
```

Results
Calculated formation energy: 416 meV per atom
Total magnetization: 0.0 μB/cell
Raw total energy: -3.727 eV per atom
Space-group type: Pmmm (47)
Energy above the most stable polymorph in this dataset: 0.184 eV/atom

---

Across the entries above, volume takes the values 19.42 21.47 30.20 16.55 18.33 16.04 Å³ per atom, respectively.